The following is a PBE calculation of a relaxed Rb6GaI8 crystal, from Alexandria via LeMat-Bulk.

Cell lengths 10.5423, 10.5423, 7.9350 Å; angles 90.00, 90.00, 120.00 degrees
Closest atoms and distances in Å follow each position.
Space group P-31m (No. 162)
Unique sites:
Rb 0.0000 0.3817 0.2759 [6 per cell]  5 I 3.59-3.89
Ga 0.0000 0.0000 0.0000 [1 per cell]  6 I 3.12
I 0.0000 0.2537 0.7969 [6 per cell]  1 Ga 3.12
I 0.3333 0.6667 0.5000 [2 per cell]  6 Rb 3.74

Values from the calculation:
Formation energy without anion corrections ... -1.1998 eV per atom


The following is a PBE calculation of a relaxed LaEuOs4 crystal, from Alexandria via LeMat-Bulk.

Cell lengths 7.7072, 7.7072, 7.7072 Å; angles 90.00, 90.00, 90.00 degrees
Closest atoms and distances in Å follow each position.
Space group F-43m (No. 216)
Unique sites:
La 0.0000 0.0000 0.0000 [4 per cell]  12 Os 3.20, 4 Eu 3.34
Eu 0.2500 0.2500 0.2500 [4 per cell]  12 Os 3.19, 4 La 3.34
Os 0.1248 0.1248 0.6248 [16 per cell]  6 Os 2.72-2.73

Values from the calculation:
ΔE_f ... 50 meV/atom


no.,calculated total energy (eV per cell),Fermi-level density of states (states/eV/f.u.)
1,-39.2,6.63
2,-239.3,9.77